Arrangement P

# CsSb3Ru

An optimized crystal structure of CsSb3Ru (PBE, Alexandria via LeMat-Bulk).

Cell: 6.0212 6.0212 6.0212 Å, 90.00 90.00 90.00°
Atoms (fractional coordinates):
1 Cs 0.0000 0.0000 0.0000
2 Sb 0.0000 0.0000 0.5000
3 Sb 0.0000 0.5000 0.0000
4 Sb 0.5000 0.0000 0.0000
5 Ru 0.5000 0.5000 0.5000

Computed properties:
- Symmetry: No. 221



Arrangement Q

# CsSb3Ru

An optimized crystal structure of CsSb3Ru (PBE, Alexandria via LeMat-Bulk).

Cell: 5.3586 5.3586 5.3586 Å, 90.00 90.00 90.00°
Atoms (fractional coordinates):
1 Cs 0.0000 0.0000 0.0000
2 Sb 0.0000 0.5000 0.5000
3 Sb 0.5000 0.0000 0.5000
4 Sb 0.5000 0.5000 0.0000
5 Ru 0.5000 0.5000 0.5000

Computed properties:
- Symmetry: No. 221



The computed energies, referenced to the most stable structure and given in meV/atom, are arrangement P 2146; arrangement Q 0.



Arrangement P

# CsSb2Ru

An optimized crystal structure of CsSb2Ru (PBE, Alexandria via LeMat-Bulk).

Cell: 7.4094 7.4094 7.4094 Å, 90.00 90.00 90.00°
Atoms (fractional coordinates):
1 Cs 0.0000 0.0000 0.0000
2 Cs 0.0000 0.5000 0.5000
3 Cs 0.5000 0.0000 0.5000
4 Cs 0.5000 0.5000 0.0000
5 Sb 0.2500 0.2500 0.2500
6 Sb 0.2500 0.2500 0.7500
7 Sb 0.2500 0.7500 0.2500
8 Sb 0.2500 0.7500 0.7500
9 Sb 0.7500 0.2500 0.2500
10 Sb 0.7500 0.2500 0.7500
11 Sb 0.7500 0.7500 0.2500
12 Sb 0.7500 0.7500 0.7500
13 Ru 0.0000 0.0000 0.5000
14 Ru 0.0000 0.5000 0.0000
15 Ru 0.5000 0.0000 0.0000
16 Ru 0.5000 0.5000 0.5000

Computed properties:
- Symmetry: No. 225



Arrangement Q

# CsSb2Ru

An optimized crystal structure of CsSb2Ru (PBE, Alexandria via LeMat-Bulk).

Cell: 3.3673 3.3673 9.4041 Å, 90.00 90.00 90.00°
Atoms (fractional coordinates):
1 Cs 0.0000 0.0000 0.0000
2 Sb 0.5000 0.5000 0.3293
3 Sb 0.5000 0.5000 0.6707
4 Ru 0.0000 0.0000 0.5000

Computed properties:
- Symmetry: No. 123



The computed energies, referenced to the most stable structure and given in meV/atom, are arrangement P 791; arrangement Q 0.



Arrangement P

# CsSbRu3

An optimized crystal structure of CsSbRu3 (PBE, Alexandria via LeMat-Bulk).

Cell: 4.9499 4.9499 4.9499 Å, 90.00 90.00 90.00°
Atoms (fractional coordinates):
1 Cs 0.0000 0.0000 0.0000
2 Sb 0.5000 0.5000 0.5000
3 Ru 0.0000 0.0000 0.5000
4 Ru 0.0000 0.5000 0.0000
5 Ru 0.5000 0.0000 0.0000

Computed properties:
- Symmetry: No. 221



Arrangement Q

# CsSbRu3

An optimized crystal structure of CsSbRu3 (PBE, Alexandria via LeMat-Bulk).

Cell: 5.0116 5.0116 5.0116 Å, 90.00 90.00 90.00°
Atoms (fractional coordinates):
1 Cs 0.0000 0.0000 0.0000
2 Sb 0.5000 0.5000 0.5000
3 Ru 0.0000 0.5000 0.5000
4 Ru 0.5000 0.0000 0.5000
5 Ru 0.5000 0.5000 0.0000

Computed properties:
- Symmetry: No. 221



The computed energies, referenced to the most stable structure and given in meV/atom, are arrangement P 1178; arrangement Q 0.



Arrangement P

# CsSb2TeRu

An optimized crystal structure of CsSb2TeRu (PBE, Alexandria via LeMat-Bulk).

Cell: 5.1416 5.1416 6.1438 Å, 90.00 90.00 90.00°
Atoms (fractional coordinates):
1 Cs 0.0000 0.0000 0.0000
2 Sb 0.0000 0.5000 0.5000
3 Sb 0.5000 0.0000 0.5000
4 Te 0.5000 0.5000 0.0000
5 Ru 0.5000 0.5000 0.5000

Computed properties:
- Symmetry: No. 123



Arrangement Q

# CsSb2TeRu

An optimized crystal structure of CsSb2TeRu (PBE, Alexandria via LeMat-Bulk).

Cell: 6.1355 6.1355 6.1957 Å, 90.00 90.00 90.00°
Atoms (fractional coordinates):
1 Cs 0.0000 0.0000 0.0000
2 Sb 0.0000 0.5000 0.0000
3 Sb 0.5000 0.0000 0.0000
4 Te 0.0000 0.0000 0.5000
5 Ru 0.5000 0.5000 0.5000

Computed properties:
- Symmetry: No. 123



The computed energies, referenced to the most stable structure and given in meV/atom, are arrangement P 0; arrangement Q 2138.



Arrangement P

# Cs2RuSe

An optimized crystal structure of Cs2RuSe (PBE, Alexandria via LeMat-Bulk).

Cell: 12.9714 12.9714 4.6483 Å, 90.00 90.00 90.00°
Atoms (fractional coordinates):
1 Cs 0.0757 0.2500 0.1250
2 Cs 0.2500 0.5757 0.3750
3 Cs 0.2500 0.9243 0.8750
4 Cs 0.4243 0.2500 0.6250
5 Cs 0.5757 0.7500 0.6250
6 Cs 0.7500 0.0757 0.8750
7 Cs 0.7500 0.4243 0.3750
8 Cs 0.9243 0.7500 0.1250
9 Ru 0.0000 0.0000 0.0000
10 Ru 0.0000 0.5000 0.2500
11 Ru 0.5000 0.0000 0.7500
12 Ru 0.5000 0.5000 0.5000
13 Se 0.0000 0.0000 0.5000
14 Se 0.0000 0.5000 0.7500
15 Se 0.5000 0.0000 0.2500
16 Se 0.5000 0.5000 0.0000

Computed properties:
- Symmetry: No. 122



Arrangement Q

# Cs2RuSe

An optimized crystal structure of Cs2RuSe (PBE, Alexandria via LeMat-Bulk).

Cell: 8.5566 8.5566 8.5566 Å, 90.00 90.00 90.00°
Atoms (fractional coordinates):
1 Cs 0.2500 0.2500 0.2500
2 Cs 0.2500 0.2500 0.7500
3 Cs 0.2500 0.7500 0.2500
4 Cs 0.2500 0.7500 0.7500
5 Cs 0.7500 0.2500 0.2500
6 Cs 0.7500 0.2500 0.7500
7 Cs 0.7500 0.7500 0.2500
8 Cs 0.7500 0.7500 0.7500
9 Ru 0.0000 0.0000 0.0000
10 Ru 0.0000 0.5000 0.5000
11 Ru 0.5000 0.0000 0.5000
12 Ru 0.5000 0.5000 0.0000
13 Se 0.0000 0.0000 0.5000
14 Se 0.0000 0.5000 0.0000
15 Se 0.5000 0.0000 0.0000
16 Se 0.5000 0.5000 0.5000

Computed properties:
- Symmetry: No. 225



The computed energies, referenced to the most stable structure and given in meV/atom, are arrangement P 0; arrangement Q 706.



Arrangement P

# CsSnRu3

An optimized crystal structure of CsSnRu3 (PBE, Alexandria via LeMat-Bulk).

Cell: 4.9621 4.9621 4.9621 Å, 90.00 90.00 90.00°
Atoms (fractional coordinates):
1 Cs 0.0000 0.0000 0.0000
2 Sn 0.5000 0.5000 0.5000
3 Ru 0.0000 0.0000 0.5000
4 Ru 0.0000 0.5000 0.0000
5 Ru 0.5000 0.0000 0.0000

Computed properties:
- Symmetry: No. 221



Arrangement Q

# CsSnRu3

An optimized crystal structure of CsSnRu3 (PBE, Alexandria via LeMat-Bulk).

Cell: 5.0504 5.0504 5.0504 Å, 90.00 90.00 90.00°
Atoms (fractional coordinates):
1 Cs 0.0000 0.0000 0.0000
2 Sn 0.5000 0.5000 0.5000
3 Ru 0.0000 0.5000 0.5000
4 Ru 0.5000 0.0000 0.5000
5 Ru 0.5000 0.5000 0.0000

Computed properties:
- Symmetry: No. 221



The computed energies, referenced to the most stable structure and given in meV/atom, are arrangement P 962; arrangement Q 0.